No. 1
# TcMoRu2 meta-GGA SCAN PBEsol geometry
# ΔH_f (0 K) (eV/atom): 0.04
# Magnetization (μB per formula unit): 0.00
# Calculated volume (Å³/atom): 13.965
# Crystal system: orthorhombic
# Offset from the most stable computed form (meV per atom): 2
data_TcMoRu2
_chemical_formula_sum 'Tc1 Mo1 Ru2'
_cell_length_a 2.7085
_cell_length_b 3.8014
_cell_length_c 5.4253
_cell_angle_alpha 90.00
_cell_angle_beta 90.00
_cell_angle_gamma 90.00
_symmetry_space_group_name_H-M 'P m m m'
_symmetry_Int_Tables_number 47
_symmetry_space_group_name_Hall '-P 2 2'
loop_
_atom_site_label
_atom_site_type_symbol
_atom_site_fract_x
_atom_site_fract_y
_atom_site_fract_z
Tc1 Tc 0.0000 0.0000 0.0000
Mo1 Mo 0.0000 0.0000 0.5000
Ru1 Ru 0.5000 0.5000 0.2440

***

No. 2
# TcMoRu2 meta-GGA SCAN PBEsol geometry
# ΔH_f (0 K) (eV/atom): 0.09
# Magnetization (μB per formula unit): 0.00
# Calculated volume (Å³/atom): 13.984
# Crystal system: monoclinic
# Offset from the most stable computed form (meV per atom): 50
data_TcMoRu2
_chemical_formula_sum 'Tc2 Mo2 Ru4'
_cell_length_a 8.9695
_cell_length_b 2.7005
_cell_length_c 4.6888
_cell_angle_alpha 90.00
_cell_angle_beta 99.92
_cell_angle_gamma 90.00
_symmetry_space_group_name_H-M 'C 1 2/m 1'
_symmetry_Int_Tables_number 12
_symmetry_space_group_name_Hall '-C 2y'
loop_
_atom_site_label
_atom_site_type_symbol
_atom_site_fract_x
_atom_site_fract_y
_atom_site_fract_z
Tc1 Tc 0.0000 0.0000 0.0000
Mo1 Mo 0.0000 0.5000 0.5000
Ru1 Ru 0.2477 0.5000 0.2414